Record 1
Below is a relaxed Zr3O crystal, with properties calculated at the PBE-GGA level.

The value obtained for the density of states at the Fermi level is 6.9 states/eV/cell. As for the total magnetization: 0.00 μB per cell. The crystal system is hexagonal. The value obtained for the calculated volume is 18.21 Å³ per atom. For the energy relative to the elements, uncorrected, the calculation gives -5.46 eV/f.u.

The space group is P6_322 (No. 182) and the conventional cell measures 5.6669, 5.6669 and 5.2369 Å, with angles of 90.00, 90.00 and 120.00 degrees. Symmetry generates all atoms from Zr at (0.0000, 0.3389, 0.0000) and O at (0.3333, 0.6667, 0.2500).

Record 2
Below is a relaxed ZrO2 crystal, with properties calculated at the PBE-GGA level.

The value obtained for the density of states at the Fermi level is 0.0 states/eV/cell. As for the total magnetization: 0.00 μB per cell. The crystal system is tetragonal. The value obtained for the calculated volume is 13.33 Å³ per atom. For the energy relative to the elements, uncorrected, the calculation gives -9.89 eV/f.u.

The space group is P4_2/mnm (No. 136) and the conventional cell measures 4.935, 4.935 and 3.285 Å, with angles of 90.00, 90.00 and 90.00 degrees. Symmetry generates all atoms from Zr at (0.000, 0.000, 0.000) and O at (0.194, 0.194, 0.500).

Record 3
Below is a relaxed ZrO2 crystal, with properties calculated at the PBE-GGA level.

The value obtained for the density of states at the Fermi level is 0.0 states/eV/cell. As for the total magnetization: 0.00 μB per cell. The crystal system is orthorhombic. The value obtained for the calculated volume is 11.70 Å³ per atom. For the energy relative to the elements, uncorrected, the calculation gives -9.99 eV/f.u.

The space group is Pbca (No. 61) and the conventional cell measures 5.160, 10.214 and 5.329 Å, with angles of 90.00, 90.00 and 90.00 degrees. Symmetry generates all atoms from Zr at (0.248, 0.116, 0.035), O at (0.003, 0.022, 0.739) and O at (0.125, 0.711, 0.374).

Record 4
Below is a relaxed Zr3O crystal, with properties calculated at the PBE-GGA level.

The value obtained for the density of states at the Fermi level is 20.5 states/eV/cell. As for the total magnetization: 0.00 μB per cell. The crystal system is orthorhombic. The value obtained for the calculated volume is 19.17 Å³ per atom. For the energy relative to the elements, uncorrected, the calculation gives -4.62 eV/f.u.

The space group is Cmcm (No. 63) and the conventional cell measures 3.133, 11.189 and 8.749 Å, with angles of 90.00, 90.00 and 90.00 degrees. Symmetry generates all atoms from Zr at (0.000, 0.100, 0.250), Zr at (0.000, 0.367, 0.070) and O at (0.000, 0.090, 0.750).

Record 5
Below is a relaxed Zr3O crystal, with properties calculated at the PBE-GGA level.

The value obtained for the density of states at the Fermi level is 10.8 states/eV/cell. As for the total magnetization: 0.00 μB per cell. The crystal system is orthorhombic. The value obtained for the calculated volume is 18.43 Å³ per atom. For the energy relative to the elements, uncorrected, the calculation gives -3.74 eV/f.u.

The space group is Imm2 (No. 44) and the conventional cell measures 2.974, 9.081 and 5.460 Å, with angles of 90.00, 90.00 and 90.00 degrees. Symmetry generates all atoms from Zr at (0.000, 0.000, 0.000), Zr at (0.000, 0.172, 0.497) and O at (0.000, 0.500, 0.167).

Record 6
Below is a relaxed ZrO2 crystal, with properties calculated at the PBE-GGA level.

The value obtained for the density of states at the Fermi level is 0.0 states/eV/cell. As for the total magnetization: 0.00 μB per cell. The crystal system is monoclinic. The value obtained for the calculated volume is 12.24 Å³ per atom. For the energy relative to the elements, uncorrected, the calculation gives -10.05 eV/f.u.

The space group is P2_1/c (No. 14) and the conventional cell measures 5.221, 5.280 and 5.405 Å, with angles of 90.00, 99.67 and 90.00 degrees. Symmetry generates all atoms from Zr at (0.224, 0.044, 0.290), O at (0.049, 0.743, 0.523) and O at (0.433, 0.171, 0.652).